# 1
Density functional theory data (GGA-PBEsol) for an optimized crystal structure of RbCaTiP2.

Values from the calculation:
- energy of formation from the pure elements (eV per atom) = 0.10
- space group = No. 123

Cell: 4.8747 4.8747 5.0851 Å, 90.00 90.00 90.00°
With the nearest neighbours (Å) after each atom.
Positions (direct):
Rb: 0.0000 0.0000 0.0000  2 Ti 2.54
Ca: 0.5000 0.5000 0.0000  4 Rb 3.45, 8 P 3.52
Ti: 0.0000 0.0000 0.5000  4 P 2.44, 2 Rb 2.54
P: 0.0000 0.5000 0.5000  2 Ti 2.44
P: 0.5000 0.0000 0.5000  2 Ti 2.44



# 2
Density functional theory data (GGA-PBEsol) for an optimized crystal structure of KNa3Hg.

Values from the calculation:
- energy of formation from the pure elements (eV per atom) = -0.05
- space group = No. 221

Cell: 5.8882 5.8882 5.8882 Å, 90.00 90.00 90.00°
With the nearest neighbours (Å) after each atom.
Positions (direct):
K: 0.0000 0.0000 0.0000  12 Na 4.16
Na: 0.0000 0.5000 0.5000  2 Hg 2.94
Na: 0.5000 0.0000 0.5000  2 Hg 2.94
Na: 0.5000 0.5000 0.0000  2 Hg 2.94
Hg: 0.5000 0.5000 0.5000  6 Na 2.94



# 3
Density functional theory data (GGA-PBEsol) for an optimized crystal structure of LiAg4.

Values from the calculation:
- energy of formation from the pure elements (eV per atom) = -0.11
- space group = No. 87

Cell: 4.9158 4.9158 4.9158 Å, 99.55 99.55 131.92°
With the nearest neighbours (Å) after each atom.
Positions (direct):
Li: 0.0000 0.0000 0.0000  12 Ag 2.83-2.84
Ag: 0.2016 0.3999 0.6016  9 Ag 2.83-2.86, 3 Li 2.83-2.84
Ag: 0.3999 0.7984 0.1983  9 Ag 2.83-2.86, 3 Li 2.83-2.84
Ag: 0.6001 0.2016 0.8017  9 Ag 2.83-2.86, 3 Li 2.83-2.84
Ag: 0.7984 0.6001 0.3984  9 Ag 2.83-2.86, 3 Li 2.83-2.84



# 4
Density functional theory data (GGA-PBEsol) for an optimized crystal structure of Rb3TaGa.

Values from the calculation:
- energy of formation from the pure elements (eV per atom) = 1.66
- space group = No. 221

Cell: 6.8000 6.8000 6.8000 Å, 90.00 90.00 90.00°
With the nearest neighbours (Å) after each atom.
Positions (direct):
Rb: 0.0000 0.0000 0.5000  2 Ta 3.40
Rb: 0.0000 0.5000 0.0000  2 Ta 3.40
Rb: 0.5000 0.0000 0.0000  2 Ta 3.40
Ta: 0.0000 0.0000 0.0000  6 Rb 3.40
Ga: 0.5000 0.5000 0.5000  12 Rb 4.81



# 5
Density functional theory data (GGA-PBEsol) for an optimized crystal structure of Ti2CdTcH.

Values from the calculation:
- calculated total energy (eV/f.u.) = -26.7
- space group = No. 123

Cell: 4.9949 4.9949 3.1872 Å, 90.00 90.00 90.00°
With the nearest neighbours (Å) after each atom.
Positions (direct):
Ti: 0.0000 0.5000 0.0000  2 Cd 2.50
Ti: 0.5000 0.0000 0.0000  2 Cd 2.50
Cd: 0.0000 0.0000 0.0000  2 H 1.59
Tc: 0.5000 0.5000 0.5000  8 Ti 2.96, 2 Tc 3.19
H: 0.0000 0.0000 0.5000  2 Cd 1.59



# 6
Density functional theory data (GGA-PBEsol) for an optimized crystal structure of BaCa2Pt.

Values from the calculation:
- energy of formation from the pure elements (eV per atom) = -0.15
- space group = No. 225

Cell: 5.3377 5.3377 5.3377 Å, 60.00 60.00 60.00°
With the nearest neighbours (Å) after each atom.
Positions (direct):
Ba: 0.0000 0.0000 0.0000  8 Ca 3.27
Ca: 0.2500 0.2500 0.2500  4 Ba 3.27, 4 Pt 3.27
Ca: 0.7500 0.7500 0.7500  4 Pt 3.27, 4 Ba 3.27
Pt: 0.5000 0.5000 0.5000  8 Ca 3.27



# 7
Density functional theory data (GGA-PBEsol) for an optimized crystal structure of SbMoPd2Se.

Values from the calculation:
- calculated total energy (eV/f.u.) = -28.5
- space group = No. 123

Cell: 4.8634 4.8634 4.6213 Å, 90.00 90.00 90.00°
With the nearest neighbours (Å) after each atom.
Positions (direct):
Sb: 0.0000 0.0000 0.0000  8 Pd 3.35, 4 Se 3.44
Mo: 0.5000 0.5000 0.5000  2 Se 2.31, 4 Pd 2.43
Pd: 0.0000 0.5000 0.5000  2 Mo 2.43
Pd: 0.5000 0.0000 0.5000  2 Mo 2.43
Se: 0.5000 0.5000 0.0000  2 Mo 2.31



# 8
Density functional theory data (GGA-PBEsol) for an optimized crystal structure of BaCr2N2.

Values from the calculation:
- calculated total energy (eV/f.u.) = -42.5
- space group = No. 139

Cell: 6.3229 6.3229 6.3229 Å, 149.38 149.38 43.85°
With the nearest neighbours (Å) after each atom.
Positions (direct):
Ba: 0.0000 0.0000 0.0000  8 N 2.98, 4 Ba 3.34
Cr: 0.2500 0.7500 0.5000  4 N 2.00
Cr: 0.7500 0.2500 0.5000  4 N 2.00
N: 0.3446 0.3446 0.0000  4 Cr 2.00
N: 0.6554 0.6554 0.0000  4 Cr 2.00



# 9
Density functional theory data (GGA-PBEsol) for an optimized crystal structure of SiMoWN2.

Values from the calculation:
- calculated total energy (eV/f.u.) = -42.4
- space group = No. 123

Cell: 3.7787 3.7787 5.1224 Å, 90.00 90.00 90.00°
With the nearest neighbours (Å) after each atom.
Positions (direct):
Si: 0.0000 0.0000 0.0000  2 Mo 2.56, 4 W 2.67
Mo: 0.0000 0.0000 0.5000  4 N 1.89
W: 0.5000 0.5000 0.0000  4 Si 2.67
N: 0.0000 0.5000 0.5000  2 Mo 1.89
N: 0.5000 0.0000 0.5000  2 Mo 1.89



# 10
Density functional theory data (GGA-PBEsol) for an optimized crystal structure of LaCo2Os.

Values from the calculation:
- energy of formation from the pure elements (eV per atom) = 0.05
- space group = No. 160

Cell: 5.5262 5.5262 5.5262 Å, 43.88 43.88 43.88°
With the nearest neighbours (Å) after each atom.
Positions (direct):
La: 0.0000 0.0000 0.0000  1 Co 2.76, 1 Os 2.80
Co: 0.5025 0.5025 0.5025  3 Os 2.40, 3 Co 2.40
Co: 0.8153 0.8153 0.8153  3 Co 2.40, 3 Os 2.45
Os: 0.1874 0.1874 0.1874  6 Co 2.40-2.45



# 11
Density functional theory data (GGA-PBEsol) for an optimized crystal structure of Na2PtRhCl.

Values from the calculation:
- calculated total energy (eV/f.u.) = -18.2
- space group = No. 123

Cell: 5.5464 5.5464 4.5284 Å, 90.00 90.00 90.00°
With the nearest neighbours (Å) after each atom.
Positions (direct):
Na: 0.0000 0.5000 0.0000  2 Rh 2.77
Na: 0.5000 0.0000 0.0000  2 Rh 2.77
Pt: 0.0000 0.0000 0.5000  2 Rh 2.26
Rh: 0.0000 0.0000 0.0000  2 Pt 2.26
Cl: 0.5000 0.5000 0.5000  8 Na 3.58, 4 Pt 3.92



# 12
Density functional theory data (GGA-PBEsol) for an optimized crystal structure of SrMg2Tc.

Values from the calculation:
- energy of formation from the pure elements (eV per atom) = 0.68
- space group = No. 12

Cell: 6.0054 6.0054 2.9388 Å, 100.41 100.41 119.36°
With the nearest neighbours (Å) after each atom.
Positions (direct):
Sr: 0.0000 0.0000 0.0000  2 Sr 2.94, 2 Tc 3.03, 4 Mg 3.10
Mg: 0.0000 0.5000 0.5000  4 Mg 2.94-3.03, 2 Tc 3.10, 2 Sr 3.10
Mg: 0.5000 0.0000 0.5000  4 Mg 2.94-3.03, 2 Tc 3.10, 2 Sr 3.10
Tc: 0.5000 0.5000 0.0000  2 Tc 2.94, 2 Sr 3.03, 4 Mg 3.10